Entry 1:
Here is a relaxed BeCoSi4 crystal from Alexandria via LeMat-Bulk. Energies are from PBE.

```
BeCoSi4
1.0
-1.1320 -3.4600 3.1986
-4.6458 -1.0672 0.8724
-1.8491 -4.2080 -1.5353
Be Co Si
1 1 4
Direct
0.7500 0.7500 0.7500
0.0000 0.0000 0.0000
0.8747 0.3751 0.3751
0.3751 0.3751 0.8747
0.3751 0.8747 0.3751
0.3751 0.3751 0.3751
```

Energy relative to the elements, uncorrected in eV/atom: 0.66

---

Entry 2:
Here is a relaxed InFeSe2Br crystal from Alexandria via LeMat-Bulk. Energies are from PBE.

```
InFeSe2Br
1.0
-2.8769 1.7053 3.3835
-3.7689 -1.7239 -2.3357
0.4658 -4.9039 2.8676
Fe Se Br In
1 2 1 1
Direct
0.0000 0.0000 0.0000
0.0000 0.5000 0.0000
0.5000 0.0000 0.0000
0.0000 0.0000 0.5000
0.5000 0.5000 0.5000
```

Energy relative to the elements, uncorrected in eV/atom: -0.09

---

Entry 3:
Here is a relaxed AlGaBi crystal from Alexandria via LeMat-Bulk. Energies are from PBE.

```
AlGaBi
1.0
4.8405 0.0000 0.0000
2.4202 4.1920 0.0000
2.4202 1.3973 3.9522
Bi Ga Al
1 1 1
Direct
0.5000 0.5000 0.5000
0.0000 0.0000 0.0000
0.2500 0.2500 0.2500
```

ΔE_f in eV/atom: 0.160

---

Entry 4:
Here is a relaxed Th6PtRh2S3 crystal from Alexandria via LeMat-Bulk. Energies are from PBE.

```
Th6PtRh2S3
1.0
7.0558 -0.0014 0.0007
-3.5274 6.1108 0.0007
-1.1762 -2.0366 7.0613
Th Pt Rh S
6 1 2 3
Direct
0.9203 0.5807 0.7607
0.7400 0.7400 0.2384
0.0797 0.4193 0.2393
0.5807 0.9203 0.7607
0.2600 0.2600 0.7616
0.4193 0.0797 0.2393
0.0000 0.0000 0.0000
0.3332 0.6668 0.0000
0.6668 0.3332 0.0000
0.1644 0.8356 0.5000
0.8356 0.1644 0.5000
0.5000 0.5000 0.5000
```

Energy relative to the elements, uncorrected in eV/atom: -1.33

---

Entry 5:
Here is a relaxed CeTmMgPa crystal from Alexandria via LeMat-Bulk. Energies are from PBE.

```
CeTmMgPa
1.0
-0.0787 4.6335 2.6180
-4.6391 2.1142 1.5292
-1.2980 0.1192 5.1605
Mg Pa Tm Ce
1 1 1 1
Direct
0.7500 0.7500 0.7500
0.2500 0.2500 0.2500
0.0000 0.0000 0.0000
0.5000 0.5000 0.5000
```

ΔE_f in eV/atom: 0.310

---

Entry 6:
Here is a relaxed AcPmEuAg crystal from Alexandria via LeMat-Bulk. Energies are from PBE.

```
AcPmEuAg
1.0
5.6933 0.0000 0.0000
2.8466 4.9305 0.0000
2.8466 1.6435 4.6486
Eu Ac Ag Pm
1 1 1 1
Direct
0.5000 0.5000 0.5000
0.7500 0.7500 0.7500
0.2500 0.2500 0.2500
0.0000 0.0000 0.0000
```

ΔE_f in eV/atom: 0.169

---

Entry 7:
Here is a relaxed NaRe4 crystal from Alexandria via LeMat-Bulk. Energies are from PBE.

```
NaRe4
1.0
-1.1914 2.5698 3.3087
-4.1239 -1.3255 -0.4554
0.7382 -3.2573 2.7957
Na Re
1 4
Direct
0.5000 0.5000 0.5000
0.0000 0.0000 0.0000
0.5000 0.0000 0.5000
0.0000 0.5000 0.5000
0.5000 0.5000 0.0000
```

ΔE_f in eV/atom: 3.080

---

Entry 8:
Here is a relaxed Sm4ScCd5 crystal from Alexandria via LeMat-Bulk. Energies are from PBE.

```
Sm4ScCd5
1.0
3.7304 0.0000 0.0000
0.0000 3.7304 0.0000
0.0000 0.0000 19.1114
Sm Sc Cd
4 1 5
Direct
0.0000 0.0000 0.1910
0.0000 0.0000 0.3969
0.0000 0.0000 0.6031
0.0000 0.0000 0.8090
0.0000 0.0000 0.0000
0.5000 0.5000 0.0849
0.5000 0.5000 0.2944
0.5000 0.5000 0.5000
0.5000 0.5000 0.7056
0.5000 0.5000 0.9151
```

ΔE_f in eV/atom: -0.302

---

Entry 9:
Here is a relaxed ScPaMn crystal from Alexandria via LeMat-Bulk. Energies are from PBE.

```
ScPaMn
1.0
3.2617 -0.0011 -0.7848
-2.0845 6.1432 -1.4978
-0.2492 0.0127 6.1265
Sc Pa Mn
2 2 2
Direct
0.9041 0.5619 0.2468
0.0959 0.4381 0.7532
0.8041 0.9122 0.6957
0.1959 0.0878 0.3043
0.4635 0.8382 0.0890
0.5365 0.1618 0.9110
```

ΔE_f in eV/atom: 0.000

---

Entry 10:
Here is a relaxed PrSiNi4 crystal from Alexandria via LeMat-Bulk. Energies are from PBE.

```
PrSiNi4
1.0
-1.6212 0.1925 -3.2594
1.2642 -6.5929 -1.0183
-6.2708 -1.6689 3.0205
Pr Si Ni
2 2 8
Direct
0.0000 0.6298 0.7500
0.0000 0.3702 0.2500
0.0000 0.1955 0.7500
0.0000 0.8045 0.2500
0.0000 0.0000 0.5000
0.0000 0.0000 0.0000
0.5000 0.9606 0.7500
0.5000 0.0394 0.2500
0.5000 0.7279 0.0616
0.5000 0.2721 0.9384
0.5000 0.7279 0.4384
0.5000 0.2721 0.5616
```

Energy relative to the elements, uncorrected in eV/atom: -0.41

---

Entry 11:
Here is a relaxed FePbBr2 crystal from Alexandria via LeMat-Bulk. Energies are from PBE.

```
FePbBr2
1.0
3.7858 -0.0981 0.0000
-2.0994 3.1519 0.0000
0.0000 0.0000 9.6284
Br Fe Pb
2 1 1
Direct
0.0000 0.0000 0.0616
0.0000 0.0000 0.4384
0.5000 0.5000 0.2500
0.5000 0.5000 0.7500
```

Energy relative to the elements, uncorrected in eV/atom: -0.05

---

Entry 12:
Here is a relaxed PuNpS2 crystal from Alexandria via LeMat-Bulk. Energies are from PBE.

```
PuNpS2
1.0
-1.6812 2.4019 -2.6149
-2.4711 -1.4456 -2.6902
-6.3263 1.2544 2.2687
Np S Pu
1 2 1
Direct
0.0000 0.0000 0.0000
0.2511 0.2511 0.2466
0.7489 0.7489 0.7534
0.5000 0.5000 0.5000
```

Energy relative to the elements, uncorrected in eV/atom: -1.55

---

Entry 13:
Here is a relaxed Ru2CO crystal from Alexandria via LeMat-Bulk. Energies are from PBE.

```
Ru2CO
1.0
-4.0956 -2.1969 0.4679
1.0337 -2.7073 -3.6636
0.3984 -5.4597 1.1691
Ru C O
4 2 2
Direct
0.6060 0.1250 0.2500
0.1440 0.6250 0.2500
0.3750 0.3940 0.7500
0.8750 0.8560 0.7500
0.5000 0.5000 0.0000
0.2500 0.7500 0.5000
0.0000 0.0000 0.0000
0.7500 0.2500 0.5000
```

Energy relative to the elements, uncorrected in eV/atom: 0.16

---

Entry 14:
Here is a relaxed Ac4Ni2Hg5 crystal from Alexandria via LeMat-Bulk. Energies are from PBE.

```
Ac4Ni2Hg5
1.0
-1.4336 -3.7717 0.7869
6.0062 -1.2248 5.0713
-5.6265 3.6052 7.0302
Ac Ni Hg
4 2 5
Direct
0.5000 0.7718 0.5806
0.5000 0.1898 0.8441
0.5000 0.2282 0.4194
0.5000 0.8102 0.1559
0.0000 0.0611 0.6209
0.0000 0.9389 0.3791
0.0000 0.5678 0.3412
0.0000 0.1524 0.1372
0.0000 0.5000 0.0000
0.0000 0.8476 0.8628
0.0000 0.4322 0.6588
```

ΔE_f in eV/atom: -0.401

---

Entry 15:
Here is a relaxed LaSi crystal from Alexandria via LeMat-Bulk. Energies are from PBE.

```
LaSi
1.0
8.3500 0.0000 0.0000
0.0000 8.3500 0.0000
0.0000 0.0000 8.3500
La Si
6 6
Direct
0.2500 0.5000 0.0000
0.7500 0.5000 0.0000
0.5000 0.0000 0.2500
0.5000 0.0000 0.7500
0.0000 0.2500 0.5000
0.0000 0.7500 0.5000
0.2500 0.0000 0.5000
0.7500 0.0000 0.5000
0.0000 0.5000 0.2500
0.0000 0.5000 0.7500
0.5000 0.2500 0.0000
0.5000 0.7500 0.0000
```

Energy relative to the elements, uncorrected in eV/atom: 0.31

---

Entry 16:
Here is a relaxed MnHgS3 crystal from Alexandria via LeMat-Bulk. Energies are from PBE.

```
MnHgS3
1.0
4.9435 0.0000 0.0000
0.0000 4.9435 0.0000
0.0000 0.0000 4.9435
S Mn Hg
3 1 1
Direct
0.0000 0.5000 0.0000
0.0000 0.0000 0.5000
0.5000 0.0000 0.0000
0.5000 0.5000 0.5000
0.0000 0.0000 0.0000
```

Energy relative to the elements, uncorrected in eV/atom: 0.91

---

Entry 17:
Here is a relaxed Zr2AlZn crystal from Alexandria via LeMat-Bulk. Energies are from PBE.

```
Zr2AlZn
1.0
5.4579 0.0069 0.0000
2.4054 4.8992 0.0000
-3.9316 -2.4531 2.8832
Zn Al Zr
1 1 2
Direct
0.7500 0.2500 0.5000
0.5000 0.5000 0.0000
0.0000 0.0000 0.0000
0.2500 0.7500 0.5000
```

ΔE_f in eV/atom: -0.275

---

Entry 18:
Here is a relaxed In2NiHgAs crystal from Alexandria via LeMat-Bulk. Energies are from PBE.

```
In2NiHgAs
1.0
5.1463 0.0000 0.0000
0.0000 5.1463 0.0000
0.0000 0.0000 4.5188
Ni As Hg In
1 1 1 2
Direct
0.0000 0.0000 0.0000
0.0000 0.0000 0.5000
0.5000 0.5000 0.5000
0.0000 0.5000 0.0000
0.5000 0.0000 0.0000
```

ΔE_f in eV/atom: 0.059

---

Entry 19:
Here is a relaxed TiNiN2 crystal from Alexandria via LeMat-Bulk. Energies are from PBE.

```
TiNiN2
1.0
-4.9593 -3.3047 0.1227
-2.7475 -5.2462 -0.6776
-3.1554 -4.5252 2.2577
Ni N Ti
1 2 1
Direct
0.0000 0.0000 0.0000
0.8956 0.8956 0.8956
0.1044 0.1044 0.1044
0.5000 0.5000 0.5000
```

Energy relative to the elements, uncorrected in eV/atom: -0.39

---

Entry 20:
Here is a relaxed LiBNO2 crystal from Alexandria via LeMat-Bulk. Energies are from PBE.

```
LiBNO2
1.0
3.4050 0.0000 0.0000
0.0000 3.4050 0.0000
0.0000 0.0000 4.2335
B Li O N
1 1 2 1
Direct
0.5000 0.5000 0.5000
0.0000 0.0000 0.0000
0.0000 0.5000 0.0000
0.5000 0.0000 0.0000
0.0000 0.0000 0.5000
```

Energy relative to the elements, uncorrected in eV/atom: 1.71

---

Entry 21:
Here is a relaxed Y2PuGe2Rh5 crystal from Alexandria via LeMat-Bulk. Energies are from PBE.

```
Y2PuGe2Rh5
1.0
3.7083 0.0000 0.0000
0.0000 9.9020 0.0000
0.0000 0.0000 9.9020
Y Pu Ge Rh
4 2 4 10
Direct
0.0000 0.6719 0.1719
0.0000 0.3281 0.8281
0.0000 0.1719 0.3281
0.0000 0.8281 0.6719
0.0000 0.0000 0.0000
0.0000 0.5000 0.5000
0.0000 0.1246 0.6246
0.0000 0.8754 0.3754
0.0000 0.6246 0.8754
0.0000 0.3754 0.1246
0.5000 0.2130 0.0689
0.5000 0.7870 0.9311
0.5000 0.0689 0.7870
0.5000 0.7130 0.4311
0.5000 0.9311 0.2130
0.5000 0.2870 0.5689
0.5000 0.5689 0.7130
0.5000 0.4311 0.2870
0.5000 0.5000 0.0000
0.5000 0.0000 0.5000
```

ΔE_f in eV/atom: -0.755

---

Entry 22:
Here is a relaxed PmGa2Pb crystal from Alexandria via LeMat-Bulk. Energies are from PBE.

```
PmGa2Pb
1.0
4.4409 0.0000 0.0000
0.0000 4.6145 0.0000
0.0000 0.0000 4.6145
Pb Ga Pm
1 2 1
Direct
0.5000 0.0000 0.0000
0.0000 0.0000 0.5000
0.0000 0.5000 0.0000
0.5000 0.5000 0.5000
```

ΔE_f in eV/atom: -0.417

---

Entry 23:
Here is a relaxed SrYTlHg crystal from Alexandria via LeMat-Bulk. Energies are from PBE.

```
SrYTlHg
1.0
-2.7099 2.6917 -0.5090
-1.0613 -0.3715 3.6856
5.2336 5.6617 2.0778
Sr Y Tl Hg
1 1 1 1
Direct
0.0000 0.0000 0.8506
0.0000 0.0000 0.3685
0.5000 0.5000 0.1306
0.5000 0.5000 0.5782
```

ΔE_f in eV/atom: -0.462

---

Entry 24:
Here is a relaxed Li3Si2As4 crystal from Alexandria via LeMat-Bulk. Energies are from PBE.

```
Li3Si2As4
1.0
-5.3780 3.5412 -1.8152
-1.9179 -5.0202 -5.2509
-4.6891 -4.8174 3.3552
Li Si As
6 4 8
Direct
0.0767 0.9996 0.7463
0.4233 0.2537 0.0004
0.9233 0.0004 0.2537
0.5767 0.7463 0.9996
0.2500 0.3737 0.6263
0.7500 0.6263 0.3737
0.4111 0.8102 0.5770
0.0889 0.4230 0.1898
0.5889 0.1898 0.4230
0.9111 0.5770 0.8102
0.4717 0.0441 0.7283
0.0283 0.2717 0.9559
0.5283 0.9559 0.2717
0.9717 0.7283 0.0441
0.0797 0.7291 0.5261
0.4203 0.4739 0.2709
0.9203 0.2709 0.4739
0.5797 0.5261 0.7291
```

Energy relative to the elements, uncorrected in eV/atom: -0.31

---

Entry 25:
Here is a relaxed PuAlZnIr crystal from Alexandria via LeMat-Bulk. Energies are from PBE.

```
PuAlZnIr
1.0
4.3883 0.0000 0.0000
2.1941 3.8004 0.0000
2.1941 1.2668 4.8328
Pu Al Zn Ir
1 1 1 1
Direct
0.8001 0.8001 0.5997
0.5979 0.5979 0.2064
0.3378 0.3378 0.9866
0.9901 0.9901 0.0296
```

ΔE_f in eV/atom: -0.313

---

Entry 26:
Here is a relaxed TaBeOs2 crystal from Alexandria via LeMat-Bulk. Energies are from PBE.

```
TaBeOs2
1.0
-0.8992 -2.9172 0.6833
1.3431 -1.0301 -2.6307
4.9984 -0.8638 2.8902
Be Os Ta
1 2 1
Direct
0.5000 0.5000 0.7896
0.0000 0.0000 0.9373
0.5000 0.5000 0.2653
0.0000 0.0000 0.5077
```

ΔE_f in eV/atom: 0.017

---

no.,E (eV per cell),N(E_F) (states/eV per cell)
1,-28.5,4.8
2,-20.3,2.1
3,-10.2,1.5
4,-93.6,11.9
5,-20.3,10.4
6,-21.3,5.3
7,-35.7,7.6
8,-32.8,12.1
9,-50.0,6.7
10,-71.5,5.0
11,-15.7,2.4
12,-41.7,14.9
13,-64.2,3.9
14,-33.9,7.7
15,-58.4,15.5
16,-17.3,3.5
17,-23.2,3.1
18,-15.9,4.8
19,-31.9,3.0
20,-18.3,1.8
21,-161.6,24.5
22,-16.2,2.2
23,-12.7,2.8
24,-76.0,5.5
25,-29.5,11.8
26,-38.0,2.0